Record 1
Here is a relaxed structure of FePd2C from Alexandria via LeMat-Bulk. Energies are from PBE.

Values from the calculation:
Total magnetic moment   4.64 μB per cell
Crystal system   tetragonal
Density   8.53 g/cm³

Cell: 5.6160 5.6160 5.6160 Å, 97.13 97.13 138.74°
Last column: nearest neighbours and their distance in Å.
Fractional positions:
Fe  0.0000  0.0000  0.0000  2 C 1.98
Fe  0.7500  0.2500  0.5000  2 C 1.98
Pd  0.2587  0.6250  0.1337  2 C 2.11
Pd  0.3750  0.5087  0.6337  2 C 2.11
Pd  0.4913  0.1250  0.8663  2 C 2.11
Pd  0.8750  0.7413  0.3663  2 C 2.11
C  0.2500  0.7500  0.5000  2 Fe 1.98, 4 Pd 2.11
C  0.5000  0.5000  0.0000  2 Fe 1.98, 4 Pd 2.11

---

Record 2
Here is a relaxed structure of Fe2PdC from Alexandria via LeMat-Bulk. Energies are from PBE.

Values from the calculation:
Total magnetic moment   7.96 μB per cell
Crystal system   tetragonal
Density   8.36 g/cm³

Cell: 4.9923 4.9923 4.9923 Å, 102.97 102.97 123.43°
Last column: nearest neighbours and their distance in Å.
Fractional positions:
Fe  0.0246  0.6250  0.8996  2 C 1.91
Fe  0.3750  0.2746  0.3996  2 C 1.91
Fe  0.7254  0.1250  0.1004  2 C 1.91
Fe  0.8750  0.9754  0.6004  2 C 1.91
Pd  0.2500  0.7500  0.5000  2 C 2.37, 4 Fe 2.54
Pd  0.5000  0.5000  0.0000  2 C 2.37, 4 Fe 2.54
C  0.0000  0.0000  0.0000  4 Fe 1.91
C  0.7500  0.2500  0.5000  4 Fe 1.91

---

Record 3
Here is a relaxed structure of FePd3C from Alexandria via LeMat-Bulk. Energies are from PBE.

Values from the calculation:
E above lowest polymorph   1640.2 meV per atom
Total magnetic moment   4.52 μB per cell
Crystal system   cubic
Density   6.71 g/cm³

Cell: 4.5754 4.5754 4.5754 Å, 90.00 90.00 90.00°
Last column: nearest neighbours and their distance in Å.
Fractional positions:
Fe  0.0000  0.0000  0.0000  6 Pd 2.29
Pd  0.0000  0.0000  0.5000  2 Fe 2.29
Pd  0.0000  0.5000  0.0000  2 Fe 2.29
Pd  0.5000  0.0000  0.0000  2 Fe 2.29
C  0.5000  0.5000  0.5000  12 Pd 3.24

---

no.,ΔE_f (eV per formula unit)
1,2.1
2,1.4
3,10.3